The following is a PBE+U calculation of a relaxed ZnFe2O4 crystal, from the Alexandria database.

```
ZnFe2O4
1.0
-6.169 -4.512 1.112
-4.959 -4.546 3.794
-7.909 3.027 3.606
Zn Fe O
2 4 8
direct
0.687 0.687 0.835
0.313 0.313 0.165
0.401 0.401 0.795
0.849 0.849 0.486
0.151 0.151 0.514
0.599 0.599 0.205
0.145 0.145 0.294
0.553 0.553 0.642
0.447 0.447 0.358
0.855 0.855 0.706
0.869 0.869 0.976
0.225 0.225 0.643
0.131 0.131 0.024
0.775 0.775 0.357
```

The value obtained for the density of states at the Fermi level is 0.00 states/eV per cell. The calculated density is 4.71 g cm⁻³. The calculation puts the final energy at -5.961 eV per atom.